[1]
Ce4Co2Os | the Alexandria database | PBE | optimized geometry; volume = 21.375 Å³ per atom; electronic total energy = -50.40 eV/f.u.; N(E_F) = 23.4 states/eV per cell; E_form = -0.17 eV/atom
1.0
-4.2394 -4.1711 3.6240
-3.3229 1.3905 -5.6201
6.5145 -3.9347 -1.9357
Co Ce Os
4 8 2
Direct
0.8883 0.7423 0.4139
0.5652 0.1245 0.9212
0.2244 0.5783 0.0860
0.3940 0.4533 0.5789
0.6127 0.8263 0.6246
0.4582 0.3733 0.1907
0.1554 0.7663 0.7947
0.6519 0.9058 0.1777
0.7381 0.4517 0.8754
0.2241 0.9781 0.3222
0.0174 0.4325 0.3093
0.1107 0.2216 0.7053
0.9744 0.0675 0.9889
0.7354 0.3285 0.5111

[2]
CeCoOs | the Alexandria database | PBE | optimized geometry; volume = 16.608 Å³ per atom; electronic total energy = -23.79 eV/f.u.; N(E_F) = 4.1 states/eV per cell; E_form = 0.16 eV/atom
1.0
2.8402 0.0000 0.0000
0.0000 2.8402 0.0000
-1.4201 -1.4201 6.1763
Ce Os Co
1 1 1
Direct
0.0038 0.0038 0.0077
0.3071 0.3071 0.6142
0.6891 0.6891 0.3781

[3]
Ce12Co6Os | the Alexandria database | PBE | optimized geometry; volume = 24.312 Å³ per atom; electronic total energy = -125.95 eV/f.u.; N(E_F) = 43.2 states/eV per cell; E_form = -0.05 eV/atom
1.0
-3.2179 0.0718 7.0695
-6.7329 -0.0985 -3.8726
1.0953 -7.6866 -0.2322
Ce Co Os
12 6 1
Direct
0.9212 0.0442 0.6598
0.5788 0.1892 0.4023
0.5977 0.4212 0.8108
0.0788 0.9558 0.3402
0.0442 0.6598 0.9212
0.4023 0.5788 0.1892
0.1892 0.4023 0.5788
0.9558 0.3402 0.0788
0.3402 0.0788 0.9558
0.4212 0.8108 0.5977
0.8108 0.5977 0.4212
0.6598 0.9212 0.0442
0.6800 0.8705 0.3798
0.8705 0.3798 0.6800
0.1295 0.6202 0.3200
0.3798 0.6800 0.8705
0.3200 0.1295 0.6202
0.6202 0.3200 0.1295
0.0000 0.0000 0.0000

[4]
CeCo4Os | the Alexandria database | PBE | optimized geometry; volume = 13.875 Å³ per atom; electronic total energy = -45.08 eV/f.u.; N(E_F) = 8.4 states/eV per cell; E_form = 0.08 eV/atom
1.0
4.9012 0.0000 0.0000
2.4506 4.2446 0.0000
2.4506 1.4149 4.0018
Co Ce Os
4 1 1
Direct
0.6244 0.6244 0.1268
0.6244 0.6244 0.6244
0.1268 0.6244 0.6244
0.6244 0.1268 0.6244
0.0000 0.0000 0.0000
0.2500 0.2500 0.2500

[5]
Ce8CoOs2 | the Alexandria database | PBE | optimized geometry; volume = 23.748 Å³ per atom; electronic total energy = -77.98 eV/f.u.; N(E_F) = 27.1 states/eV per cell; E_form = -0.09 eV/atom
1.0
-4.9738 1.9868 2.4345
0.6183 -7.6875 2.5064
5.4599 5.8400 1.3583
Ce Co Os
8 1 2
Direct
0.6742 0.4486 0.1730
0.9916 0.7818 0.1679
0.0902 0.2488 0.2488
0.9916 0.1679 0.7818
0.7475 0.6349 0.6349
0.3804 0.9092 0.6776
0.6742 0.1730 0.4486
0.3804 0.6776 0.9092
0.2893 0.0257 0.0257
0.3901 0.6751 0.2913
0.3901 0.2913 0.6751

[6]
Ce4CoOs2 | the Alexandria database | PBE | optimized geometry; volume = 22.055 Å³ per atom; electronic total energy = -54.69 eV/f.u.; N(E_F) = 11.5 states/eV per cell; E_form = -0.20 eV/atom
1.0
-1.5677 0.3468 3.8935
-5.2832 -6.6126 -1.5382
6.8518 1.0070 0.3913
Os Ce Co
2 4 1
Direct
0.6650 0.6814 0.3299
0.3350 0.3186 0.6701
0.0821 0.7839 0.1641
0.3098 0.6977 0.6196
0.6902 0.3023 0.3804
0.9179 0.2161 0.8359
0.0000 0.0000 0.0000

[7]
Ce7Co2Os2 | the Alexandria database | PBE | optimized geometry; volume = 23.291 Å³ per atom; electronic total energy = -78.31 eV/f.u.; N(E_F) = 27.7 states/eV per cell; E_form = -0.01 eV/atom
1.0
-0.8535 2.5281 6.0128
-6.1610 -2.1603 0.0339
2.1759 -6.2069 -0.1146
Ce Co Os
7 2 2
Direct
0.4997 0.2829 0.0002
0.0002 0.7171 0.4997
0.4998 0.2474 0.5002
0.9998 0.2829 0.5003
0.5002 0.7526 0.4998
0.5003 0.7171 0.9998
0.0000 0.0000 0.0000
0.2767 0.0001 0.7233
0.7233 0.9999 0.2767
0.1816 0.5000 0.1816
0.8184 0.5000 0.8184

[8]
Ce8CoOs2 | the Alexandria database | PBE | optimized geometry; volume = 22.987 Å³ per atom; electronic total energy = -78.36 eV/f.u.; N(E_F) = 23.6 states/eV per cell; E_form = -0.12 eV/atom
1.0
-0.2551 2.7861 -3.4827
-6.3367 -1.4311 -0.6808
-0.3237 5.4687 7.2638
Ce Os Co
8 2 1
Direct
0.2196 0.2667 0.4393
0.0007 0.2442 0.0015
0.5913 0.4539 0.1826
0.6569 0.9808 0.3138
0.9993 0.7558 0.9985
0.3431 0.0192 0.6862
0.4087 0.5461 0.8174
0.7804 0.7333 0.5607
0.1646 0.6789 0.3291
0.8354 0.3211 0.6709
0.5000 0.0000 0.0000

[9]
CeCoOs | the Alexandria database | PBE | optimized geometry; volume = 16.815 Å³ per atom; electronic total energy = -24.98 eV/f.u.; N(E_F) = 9.4 states/eV per cell; E_form = -0.24 eV/atom
1.0
5.2572 0.0000 0.0000
2.6286 4.5426 0.2145
2.6286 1.4945 4.2951
Co Os Ce
2 2 2
Direct
0.0000 0.0000 0.0000
0.5000 0.0000 0.0000
0.5000 0.0000 0.5000
0.5000 0.5000 0.0000
0.8756 0.3744 0.3744
0.1244 0.6256 0.6256

[10]
CeCoOs | the Alexandria database | PBE | optimized geometry; volume = 21.706 Å³ per atom; electronic total energy = -23.48 eV/f.u.; N(E_F) = 26.5 states/eV per cell; E_form = 0.26 eV/atom
1.0
6.5812 0.0000 0.0000
0.0000 6.5812 0.0000
0.0000 0.0000 6.0139
Ce Co Os
4 4 4
Direct
0.7567 0.2433 0.2500
0.2433 0.7567 0.7500
0.7433 0.7433 0.0000
0.2567 0.2567 0.5000
0.8656 0.1344 0.7500
0.1344 0.8656 0.2500
0.6344 0.6344 0.5000
0.3656 0.3656 0.0000
0.6208 0.3792 0.7500
0.3792 0.6208 0.2500
0.8792 0.8792 0.5000
0.1208 0.1208 0.0000

[11]
Ce3CoOs | the Alexandria database | PBE | optimized geometry; volume = 22.452 Å³ per atom; electronic total energy = -36.85 eV/f.u.; N(E_F) = 35.0 states/eV per cell; E_form = -0.14 eV/atom
1.0
6.1724 0.0000 0.0000
0.0000 8.6777 -1.2587
0.0000 -4.6256 9.0544
Ce Os Co
12 4 4
Direct
0.5226 0.7547 0.8317
0.4774 0.2453 0.1683
0.5758 0.7221 0.4412
0.0758 0.7779 0.0588
0.3900 0.1159 0.7499
0.8900 0.3841 0.7501
0.9242 0.2221 0.9412
0.9774 0.2547 0.3317
0.6100 0.8841 0.2501
0.1100 0.6159 0.2499
0.4242 0.2779 0.5588
0.0226 0.7453 0.6683
0.8359 0.0151 0.5848
0.1641 0.9849 0.4152
0.3359 0.4849 0.9152
0.6641 0.5151 0.0848
0.6969 0.5015 0.5561
0.1969 0.9985 0.9439
0.3031 0.4985 0.4439
0.8031 0.0015 0.0561

[12]
Ce6CoOs2 | the Alexandria database | PBE | optimized geometry; volume = 23.884 Å³ per atom; electronic total energy = -66.39 eV/f.u.; N(E_F) = 37.5 states/eV per cell; E_form = -0.14 eV/atom
1.0
6.2131 0.0000 0.1558
0.0000 7.2241 0.0000
-0.5496 0.0000 9.5646
Ce Os Co
12 4 2
Direct
0.8466 0.6921 0.9356
0.1433 0.0459 0.7545
0.1534 0.3079 0.0644
0.8567 0.9541 0.2455
0.3466 0.8079 0.4356
0.6433 0.4541 0.2545
0.8503 0.6552 0.5536
0.6534 0.1921 0.5644
0.6497 0.1552 0.9464
0.3503 0.8448 0.0536
0.1497 0.3448 0.4464
0.3567 0.5459 0.7455
0.9318 0.3841 0.7730
0.5682 0.8841 0.7270
0.0682 0.6159 0.2270
0.4318 0.1159 0.2730
0.5000 0.5000 0.0000
0.0000 0.0000 0.5000

[13]
Ce3CoOs2 | the Alexandria database | PBE | optimized geometry; volume = 20.987 Å³ per atom; electronic total energy = -48.35 eV/f.u.; N(E_F) = 27.8 states/eV per cell; E_form = -0.16 eV/atom
1.0
-1.0850 -4.0832 1.0196
0.9048 -2.8616 -10.4966
10.2418 -2.3416 1.5212
Os Co Ce
8 4 12
Direct
0.7500 0.2384 0.0211
0.2500 0.7384 0.4789
0.7500 0.2616 0.5211
0.7500 0.0428 0.7100
0.2500 0.5428 0.7900
0.2500 0.9572 0.2900
0.7500 0.4572 0.2100
0.2500 0.7616 0.9789
0.7500 0.6246 0.3843
0.2500 0.3754 0.6157
0.2500 0.1246 0.1157
0.7500 0.8754 0.8843
0.7500 0.5738 0.5986
0.2500 0.0738 0.9014
0.2500 0.6870 0.2215
0.7500 0.3130 0.7785
0.2500 0.4262 0.4014
0.2500 0.1042 0.5603
0.2500 0.3958 0.0603
0.7500 0.8958 0.4397
0.7500 0.6042 0.9397
0.7500 0.1870 0.2785
0.7500 0.9262 0.0986
0.2500 0.8130 0.7215

[14]
Ce3CoOs2 | the Alexandria database | PBE | optimized geometry; volume = 20.949 Å³ per atom; electronic total energy = -47.95 eV/f.u.; N(E_F) = 10.2 states/eV per cell; E_form = -0.10 eV/atom
1.0
-1.4000 -5.1534 1.4074
7.0877 -1.4012 1.9193
-2.1212 4.7713 4.5256
Ce Os Co
6 4 2
Direct
0.9287 0.8744 0.6665
0.6068 0.7500 0.0000
0.2621 0.6256 0.3335
0.0713 0.1256 0.3335
0.3932 0.2500 0.0000
0.7379 0.3744 0.6665
0.7750 0.5219 0.3228
0.2250 0.4781 0.6772
0.5478 0.0219 0.3228
0.4522 0.9781 0.6772
0.1227 0.7500 0.0000
0.8773 0.2500 0.0000

[15]
Ce4Co2Os | the Alexandria database | PBE | optimized geometry; volume = 23.033 Å³ per atom; electronic total energy = -49.94 eV/f.u.; N(E_F) = 22.1 states/eV per cell; E_form = -0.11 eV/atom
1.0
7.4294 -0.8890 -0.1500
-1.4224 7.3459 0.1498
-2.8928 -3.3313 6.0449
Ce Co Os
8 4 2
Direct
0.3833 0.0754 0.3077
0.3256 0.5178 0.1924
0.4822 0.6746 0.8079
0.9246 0.2322 0.3078
0.9243 0.6168 0.6922
0.8667 0.6744 0.1921
0.7677 0.0756 0.6924
0.3254 0.1332 0.8076
0.6249 0.3750 0.7499
0.6251 0.8750 0.2501
0.1250 0.3751 0.7501
0.6250 0.3749 0.2498
0.2498 0.7498 0.5000
0.0002 0.0002 0.0000

[16]
CeCoOs | the Alexandria database | PBE | optimized geometry; volume = 19.240 Å³ per atom; electronic total energy = -24.42 eV/f.u.; N(E_F) = 3.6 states/eV per cell; E_form = -0.05 eV/atom
1.0
-3.1805 -1.8569 1.5432
1.0884 -3.4467 -1.9043
1.3763 0.7741 3.7679
Os Ce Co
1 1 1
Direct
0.1664 0.0000 0.0000
0.6668 0.6667 0.3333
0.1668 0.3333 0.6667

[17]
Ce3CoOs | the Alexandria database | PBE | optimized geometry; volume = 21.719 Å³ per atom; electronic total energy = -36.86 eV/f.u.; N(E_F) = 17.4 states/eV per cell; E_form = -0.14 eV/atom
1.0
-1.6254 -0.5697 4.0966
3.6292 -5.1125 -1.1204
6.3032 3.8099 3.0307
Ce Os Co
6 2 2
Direct
0.7210 0.2435 0.0394
0.2298 0.2395 0.7500
0.7702 0.7605 0.2500
0.2790 0.7565 0.9606
0.7210 0.2435 0.4606
0.2790 0.7565 0.5394
0.2096 0.4387 0.2500
0.7904 0.5613 0.7500
0.1966 0.0401 0.2500
0.8034 0.9599 0.7500

[18]
CeCoP2Os | the Alexandria database | PBE | optimized geometry; volume = 16.164 Å³ per atom; electronic total energy = -39.38 eV/f.u.; N(E_F) = 5.8 states/eV per cell; E_form = -0.86 eV/atom
1.0
3.8526 0.0000 0.0000
0.0000 3.8526 0.0000
-1.9263 -1.9263 5.4452
P Co Ce Os
2 1 1 1
Direct
0.6357 0.6357 0.2713
0.3643 0.3643 0.7287
0.7500 0.2500 0.5000
0.0000 0.0000 0.0000
0.2500 0.7500 0.5000

[19]
CePaCoOs | the Alexandria database | PBE | optimized geometry; volume = 19.687 Å³ per atom; electronic total energy = -34.24 eV/f.u.; N(E_F) = 6.3 states/eV per cell; E_form = -0.12 eV/atom
1.0
4.8112 0.0000 0.0000
2.4056 4.1666 0.0000
2.4056 1.3889 3.9283
Co Ce Os Pa
1 1 1 1
Direct
0.5000 0.5000 0.5000
0.2500 0.2500 0.2500
0.0000 0.0000 0.0000
0.7500 0.7500 0.7500

[20]
CePaCoOs | the Alexandria database | PBE | optimized geometry; volume = 20.396 Å³ per atom; electronic total energy = -35.09 eV/f.u.; N(E_F) = 3.6 states/eV per cell; E_form = -0.33 eV/atom
1.0
3.7727 0.0000 0.0000
0.0000 3.8648 0.0000
-1.8863 0.0000 5.5953
Co Ce Os Pa
1 1 1 1
Direct
0.4027 0.0000 0.8055
0.8651 0.5000 0.7303
0.5947 0.5000 0.1893
0.1374 0.0000 0.2749